Record 1
Entry from the Alexandria database: a relaxed Li2AcGaAu4 crystal (PBE).

The structure in POSCAR format:
```
Li2AcGaAu4
1.0
4.5229 0.0000 0.0000
2.2614 3.9169 0.0000
2.2614 1.3056 9.1714
Li Ac Ga Au
2 1 1 4
Direct
0.7686 0.7686 0.6941
0.2314 0.2314 0.3059
0.0000 0.0000 0.0000
0.5000 0.5000 0.5000
0.4026 0.4026 0.7922
0.8708 0.8708 0.3875
0.1292 0.1292 0.6125
0.5974 0.5974 0.2078
```

Summary:
- space-group type = R-3m
- crystal system = trigonal
- ΔH_f (0 K) (eV/atom) = -0.579
- magnetization (μB per formula unit) = 0.00

***

Record 2
Entry from the Alexandria database: a relaxed HoTlBi crystal (PBE).

The structure in POSCAR format:
```
HoTlBi
1.0
-1.3215 -2.2869 3.2602
2.5150 -3.1426 -1.1849
3.1240 4.6198 1.8069
Tl Bi Ho
1 1 1
Direct
0.6203 0.6203 0.2406
0.9363 0.9363 0.8727
0.2934 0.2934 0.5868
```

Summary:
- space-group type = I4mm
- crystal system = tetragonal
- ΔH_f (0 K) (eV/atom) = -0.263
- magnetization (μB per formula unit) = 0.00

***

Record 3
Entry from the Alexandria database: a relaxed OsPbCl crystal (PBE).

The structure in POSCAR format:
```
OsPbCl
1.0
-2.1825 -3.1806 2.4503
1.6890 -4.2380 0.2646
1.8042 -1.4999 3.9215
Cl Os Pb
1 1 1
Direct
0.5000 0.5000 0.5000
0.7500 0.7500 0.7500
0.0000 0.0000 0.0000
```

Summary:
- space-group type = F-43m
- crystal system = cubic
- magnetization (μB per formula unit) = 0.78
- formation energy from raw total energies (kJ/mol of atoms) = 90.5

***

Record 4
Entry from the Alexandria database: a relaxed Pr12SmDy6 crystal (PBE).

The structure in POSCAR format:
```
Pr12SmDy6
1.0
8.6804 0.7056 0.8452
-0.6186 8.6871 0.8452
-0.6186 -0.7207 8.6983
Pr Sm Dy
12 1 6
Direct
0.7819 0.5358 0.4328
0.4328 0.7819 0.5358
0.5358 0.4328 0.7819
0.2181 0.4642 0.5672
0.5672 0.2181 0.4642
0.4642 0.5672 0.2181
0.0181 0.1945 0.3632
0.8055 0.6368 0.9819
0.6368 0.9819 0.8055
0.9819 0.8055 0.6368
0.1945 0.3632 0.0181
0.3632 0.0181 0.1945
0.0000 0.0000 0.0000
0.7415 0.9008 0.2971
0.7029 0.2585 0.0992
0.0992 0.7029 0.2585
0.2585 0.0992 0.7029
0.2971 0.7415 0.9008
0.9008 0.2971 0.7415
```

Summary:
- space-group type = R-3
- crystal system = trigonal
- ΔH_f (0 K) (eV/atom) = 0.127
- magnetization (μB per formula unit) = 0.00

***

E_tot for the records above, in order: -3.588, -3.871, -4.656, -4.593 eV/atom